# 1
## HfRh2SeBr (PBE)

Data for crystalline HfRh2SeBr at its relaxed geometry.

```
HfRh2SeBr
1.0
4.537 0.000 0.000
0.000 4.537 0.000
0.000 0.000 5.210
Hf Rh Se Br
1 2 1 1
Direct
0.000 0.000 0.000
0.000 0.500 0.500
0.500 0.000 0.500
0.500 0.500 0.000
0.500 0.500 0.500
```

Computed properties:
Formation energy without anion corrections (eV/atom): 0.903
Total energy (eV/atom): -5.059
Space group: P4/mmm (123)



# 2
## HfSnRh2Br (PBE)

Data for crystalline HfSnRh2Br at its relaxed geometry.

```
HfSnRh2Br
1.0
4.852 0.000 0.000
0.000 4.852 0.000
0.000 0.000 5.250
Hf Sn Rh Br
1 1 2 1
Direct
0.000 0.000 0.000
0.500 0.500 0.500
0.000 0.500 0.500
0.500 0.000 0.500
0.500 0.500 0.000
```

Computed properties:
Formation energy without anion corrections (eV/atom): 0.956
Total energy (eV/atom): -5.110
Space group: P4/mmm (123)



# 3
## Hf2TcRhBr (PBE)

Data for crystalline Hf2TcRhBr at its relaxed geometry.

```
Hf2TcRhBr
1.0
5.048 0.000 0.000
0.000 5.048 0.000
0.000 0.000 4.726
Hf Tc Rh Br
2 1 1 1
Direct
0.000 0.500 0.000
0.500 0.000 0.000
0.000 0.000 0.500
0.000 0.000 0.000
0.500 0.500 0.500
```

Computed properties:
Formation energy without anion corrections (eV/atom): 0.722
Total energy (eV/atom): -7.137
Space group: P4/mmm (123)



# 4
## HfZn2RhBr (PBE)

Data for crystalline HfZn2RhBr at its relaxed geometry.

```
HfZn2RhBr
1.0
5.473 0.000 0.000
0.000 5.473 0.000
0.000 0.000 4.718
Hf Zn Rh Br
1 2 1 1
Direct
0.000 0.000 0.000
0.000 0.500 0.000
0.500 0.000 0.000
0.000 0.000 0.500
0.500 0.500 0.500
```

Computed properties:
Formation energy without anion corrections (eV/atom): 0.702
Total energy (eV/atom): -3.603
Space group: P4/mmm (123)



# 5
## Hf3RuBr (PBE)

Data for crystalline Hf3RuBr at its relaxed geometry.

```
Hf3RuBr
1.0
5.033 0.000 0.000
0.000 5.033 0.000
0.000 0.000 5.033
Hf Ru Br
3 1 1
Direct
0.000 0.000 0.500
0.000 0.500 0.000
0.500 0.000 0.000
0.000 0.000 0.000
0.500 0.500 0.500
```

Computed properties:
Formation energy without anion corrections (eV/atom): 0.318
Total energy (eV/atom): -7.844
Energy relative to the lowest polymorph listed for this composition (kJ/mol of formula units): 0
Space group: Pm-3m (221)



# 6
## Hf3RuBr (PBE)

Data for crystalline Hf3RuBr at its relaxed geometry.

```
Hf3RuBr
1.0
4.803 0.000 0.000
0.000 4.803 0.000
0.000 0.000 4.803
Hf Ru Br
3 1 1
Direct
0.000 0.000 0.500
0.000 0.500 0.000
0.500 0.000 0.000
0.500 0.500 0.500
0.000 0.000 0.000
```

Computed properties:
Formation energy without anion corrections (eV/atom): 0.873
Total energy (eV/atom): -7.289
Energy relative to the lowest polymorph listed for this composition (kJ/mol of formula units): 268
Space group: Pm-3m (221)



- What is the formation energy without anion corrections in the fifth record?
  0.318 eV/atom



- What is the formula in the third record?
  Hf2TcRhBr



- Look up the total energy of the fourth one.
  -3.603 eV/atom



- Which formula does entry 1 have?
  HfRh2SeBr